Record 1
# AcCdSi, relaxed, DFT PBE
# E above lowest polymorph	0.193	eV per formula unit
# volume	27.38	A^3/atom
data_AcCdSi
_chemical_formula_sum 'Ac1 Cd1 Si1'
_space_group_name_H-M_alt 'P -6 m 2'
_space_group_IT_number 187
_space_group_name_Hall 'P -6 2'
_cell_length_a 4.5424
_cell_length_b 4.5424
_cell_length_c 4.5968
_cell_angle_alpha 90.00
_cell_angle_beta 90.00
_cell_angle_gamma 120.00
loop_
_atom_site_label
_atom_site_fract_x
_atom_site_fract_y
_atom_site_fract_z
Ac1 0.0000 0.0000 0.0000
Cd1 0.6667 0.3333 0.5000
Si1 0.3333 0.6667 0.5000

=====

Record 2
# Ac3Cd4Si2, relaxed, DFT PBE
# volume	28.33	A^3/atom
data_Ac3Cd4Si2
_chemical_formula_sum 'Ac6 Cd8 Si4'
_space_group_name_H-M_alt 'C 1 2/m 1'
_space_group_IT_number 12
_cell_length_a 12.1748
_cell_length_b 4.5918
_cell_length_c 9.6127
_cell_angle_alpha 90.00
_cell_angle_beta 108.38
_cell_angle_gamma 90.00
loop_
_space_group_symop_operation_xyz
'x,y,z'
'-x,-y,-z'
'-x,y,-z'
'x,-y,z'
'x+1/2,y+1/2,z'
'-x+1/2,-y+1/2,-z'
'-x+1/2,y+1/2,-z'
'x+1/2,-y+1/2,z'
loop_
_atom_site_label
_atom_site_fract_x
_atom_site_fract_y
_atom_site_fract_z
Ac1 0.0000 0.0000 0.0000
Ac2 0.1812 0.5000 0.6337
Cd1 0.0168 0.0000 0.3514
Cd2 0.2478 0.0000 0.9085
Si1 0.1141 0.5000 0.2747

=====

Record 3
# AcCdSi2, relaxed, DFT PBE
# E above lowest polymorph	0.000	eV per formula unit
# volume	23.52	A^3/atom
data_AcCdSi2
_chemical_formula_sum 'Ac8 Cd8 Si16'
_space_group_name_H-M_alt 'P n m a'
_space_group_IT_number 62
_cell_length_a 14.4839
_cell_length_b 4.4745
_cell_length_c 11.6132
_cell_angle_alpha 90.00
_cell_angle_beta 90.00
_cell_angle_gamma 90.00
loop_
_space_group_symop_operation_xyz
'x,y,z'
'-x,-y,-z'
'-x+1/2,-y,z+1/2'
'x+1/2,y,-z+1/2'
'x+1/2,-y+1/2,-z+1/2'
'-x+1/2,y+1/2,z+1/2'
'-x,y+1/2,-z'
'x,-y+1/2,z'
loop_
_atom_site_label
_atom_site_fract_x
_atom_site_fract_y
_atom_site_fract_z
Ac1 0.0562 0.2500 0.2372
Ac2 0.1949 0.7500 0.9644
Cd1 0.0596 0.2500 0.5555
Cd2 0.1955 0.7500 0.6616
Si1 0.0225 0.2500 0.9625
Si2 0.1080 0.2500 0.7864
Si3 0.1336 0.7500 0.4372
Si4 0.2205 0.7500 0.2601

=====

Record 4
# Ac6CdSi2, relaxed, DFT PBE
# E above lowest polymorph	1.076	eV per formula unit
# volume	36.09	A^3/atom
data_Ac6CdSi2
_chemical_formula_sum 'Ac12 Cd2 Si4'
_space_group_name_H-M_alt 'C 1 2/m 1'
_space_group_IT_number 12
_cell_length_a 12.7038
_cell_length_b 6.2314
_cell_length_c 10.1907
_cell_angle_alpha 90.00
_cell_angle_beta 126.37
_cell_angle_gamma 90.00
loop_
_space_group_symop_operation_xyz
'x,y,z'
'-x,-y,-z'
'-x,y,-z'
'x,-y,z'
'x+1/2,y+1/2,z'
'-x+1/2,-y+1/2,-z'
'-x+1/2,y+1/2,-z'
'x+1/2,-y+1/2,z'
loop_
_atom_site_label
_atom_site_fract_x
_atom_site_fract_y
_atom_site_fract_z
Ac1 0.0839 0.0000 0.3835
Ac2 0.1566 0.5000 0.6817
Ac3 0.1589 0.5000 0.0526
Cd1 0.0000 0.0000 0.0000
Si1 0.1016 0.5000 0.3230

=====

Record 5
# Ac6CdSi2, relaxed, DFT PBE
# E above lowest polymorph	0.000	eV per formula unit
# volume	35.60	A^3/atom
data_Ac6CdSi2
_chemical_formula_sum 'Ac24 Cd4 Si8'
_space_group_name_H-M_alt 'I m m m'
_space_group_IT_number 71
_space_group_name_Hall '-I 2 2'
_cell_length_a 10.6639
_cell_length_b 10.8012
_cell_length_c 11.1276
_cell_angle_alpha 90.00
_cell_angle_beta 90.00
_cell_angle_gamma 90.00
loop_
_atom_site_label
_atom_site_fract_x
_atom_site_fract_y
_atom_site_fract_z
Ac1 0.0000 0.2037 0.2422
Ac2 0.2021 0.5000 0.1779
Ac3 0.2264 0.3225 0.5000
Cd1 0.0000 0.0000 0.0000
Cd2 0.0000 0.0000 0.5000
Si1 0.0000 0.3739 0.0000
Si2 0.0000 0.5000 0.3913

=====

Record 6
# AcCdSi, relaxed, DFT PBE
# E above lowest polymorph	0.000	eV per formula unit
# volume	26.74	A^3/atom
data_AcCdSi
_chemical_formula_sum 'Ac4 Cd4 Si4'
_space_group_name_H-M_alt 'I m m a'
_space_group_IT_number 74
_space_group_name_Hall '-I 2b 2'
_cell_length_a 4.0439
_cell_length_b 4.9272
_cell_length_c 16.1050
_cell_angle_alpha 90.00
_cell_angle_beta 90.00
_cell_angle_gamma 90.00
loop_
_atom_site_label
_atom_site_fract_x
_atom_site_fract_y
_atom_site_fract_z
Ac1 0.0000 0.2500 0.1440
Cd1 0.0000 0.2500 0.5407
Si1 0.0000 0.2500 0.7085

=====

Record 7
# Ac2Cd3Si, relaxed, DFT PBE
# volume	29.27	A^3/atom
data_Ac2Cd3Si
_chemical_formula_sum 'Ac2 Cd3 Si1'
_space_group_name_H-M_alt 'P m m 2'
_space_group_IT_number 25
_cell_length_a 4.3736
_cell_length_b 4.7536
_cell_length_c 8.4479
_cell_angle_alpha 90.00
_cell_angle_beta 90.00
_cell_angle_gamma 90.00
loop_
_space_group_symop_operation_xyz
'x,y,z'
'-x,-y,z'
'-x,y,z'
'x,-y,z'
loop_
_atom_site_label
_atom_site_fract_x
_atom_site_fract_y
_atom_site_fract_z
Ac1 0.0000 0.0000 0.0000
Ac2 0.0000 0.5000 0.4518
Cd1 0.5000 0.0000 0.6326
Cd2 0.5000 0.5000 0.1446
Cd3 0.5000 0.5000 0.8054
Si1 0.5000 0.0000 0.3116

=====

Record 8
# Ac2Cd5Si, relaxed, DFT PBE
# volume	26.95	A^3/atom
data_Ac2Cd5Si
_chemical_formula_sum 'Ac8 Cd20 Si4'
_space_group_name_H-M_alt 'C m c m'
_space_group_IT_number 63
_space_group_name_Hall '-C 2c 2'
_cell_length_a 4.9070
_cell_length_b 17.8083
_cell_length_c 9.8673
_cell_angle_alpha 90.00
_cell_angle_beta 90.00
_cell_angle_gamma 90.00
loop_
_atom_site_label
_atom_site_fract_x
_atom_site_fract_y
_atom_site_fract_z
Ac1 0.0000 0.0000 0.0000
Ac2 0.0000 0.1998 0.2500
Cd1 0.0000 0.1872 0.6053
Cd2 0.0000 0.3539 0.5283
Cd3 0.0000 0.4083 0.2500
Si1 0.0000 0.4432 0.7500

=====

| no. | E_form (uncorrected) (eV per atom) | density of states at the Fermi level (states/eV/atom) |
| --- | --- | --- |
| 1 | -0.426 | 0.72 |
| 2 | -0.397 | 0.39 |
| 3 | -0.359 | 0.45 |
| 4 | -0.212 | 1.18 |
| 5 | -0.332 | 0.99 |
| 6 | -0.491 | 0.50 |
| 7 | -0.353 | 0.68 |
| 8 | -0.322 | 0.55 |